This record from Alexandria describes an optimized crystal structure of LaSmCdHg. The functional is PBE-GGA.

Cell lengths 3.8456, 3.8456, 7.8002 Å; angles 90.00, 90.00, 90.00 degrees
Element x y z (fractional)
1 La 0.0000 0.0000 0.0000
2 Sm 0.0000 0.0000 0.4954
3 Cd 0.5000 0.5000 0.7334
4 Hg 0.5000 0.5000 0.2654

Values from the calculation:
- Energy relative to the elements: -38.8 kJ per mole of atoms
- Calculated total energy: -3.118 eV per atom
- Excess energy over the best structure of this formula in the dataset: 0.0 meV per atom